Computed, not measured: a geometry-optimized YCoNO structure at the GGA+U level of DFT.

Properties
Spin magnetization ... 3.000 μB/f.u.
Excess energy over the best structure of this formula in the dataset ... 6.3 kJ/mol of atoms

```
8
Lattice="3.721 0.000 0.000 0.000 6.054 0.000 0.000 0.000 4.944" Properties=species:S:1:pos:R:3 pbc="T T T"
Y 0.000 1.184 0.000
Y 0.000 4.870 2.472
Co 1.860 1.870 2.563
Co 1.860 4.184 0.091
N 0.000 1.083 2.388
N 0.000 4.971 4.860
O 1.860 2.240 4.642
O 1.860 3.814 2.170
```